A plane-wave DFT calculation with PBE-GGA was carried out for a relaxed CsNdRe2O8 crystal.

The structure belongs to space group P-3 (No. 147); the cell edges are 6.1787, 6.1787 and 8.5180 Å and the angles 90.00°, 90.00° and 120.00°. The asymmetric unit holds Cs at (0.0000, 0.0000, 0.0000), Nd at (0.0000, 0.0000, 0.5000), Re at (0.3333, 0.6667, 0.7417), O at (0.1729, 0.3492, 0.6687) and O at (0.3333, 0.6667, 0.9491).

As for the size of the total moment: 1.97 Bohr magnetons per cell. The value obtained for the raw formation energy is -1.99 eV per atom. The value obtained for the density of states at the Fermi level is 0.5262 states/eV per atom. The value obtained for the density is 4.585 g/cm3.